1.
RbPaTe3Pt | PBE | relaxed

Cell lengths 4.2833, 8.8033, 10.9569 Å; angles 90.00, 90.00, 104.08 degrees
Site moments in Bohr magnetons follow the coordinates.
Positions (direct):
Rb  0.7516  0.5032  0.7500  0.00
Rb  0.2484  0.4968  0.2500  0.00
Pa  0.0000  0.0000  0.5000  0.11
Pa  0.0000  0.0000  0.0000  0.11
Te  0.6230  0.2461  0.4412  -0.01
Te  0.3770  0.7539  0.5588  -0.01
Te  0.3770  0.7539  0.9412  -0.01
Te  0.6230  0.2461  0.0588  -0.01
Te  0.0728  0.1457  0.7500  0.00
Te  0.9272  0.8543  0.2500  0.00
Pt  0.4770  0.9539  0.7500  -0.01
Pt  0.5230  0.0461  0.2500  -0.01

Results
E, eV per atom: -5.214
Formation energy (no corrections), eV per atom: -0.893
SG: Cmcm
Crystal system: orthorhombic

***

2.
TlZnHg | PBE | relaxed

Cell lengths 5.5506, 5.8444, 5.8447 Å; angles 73.00, 61.06, 61.04 degrees
Positions (direct):
Zn  0.0076  0.4365  0.7883
Zn  0.5075  0.4319  0.7930
Tl  0.1184  0.1755  0.3278
Tl  0.8958  0.8971  0.0495
Hg  0.4506  0.5480  0.2946
Hg  0.5638  0.9304  0.6769

Results
E, eV per atom: -1.254
SG: C2
DFT formation energy, eV/atom: 0.060
Relative energy among the computed polymorphs, meV per atom: 0.0
Crystal system: monoclinic

***

no.,calculated density (Mg/m³),DOS at the Fermi energy (states/eV/f.u.)
1,7.4,1.1
2,10.8,0.9